An optimized crystal structure of Co2Re, computed with PBE.

The calculation puts the formation enthalpy at 0 K at 297 meV/atom. The crystal system is orthorhombic. For the magnetic moment, the calculation gives 0.00 Bohr magnetons per cell. For the offset from the most stable computed form, the calculation gives 346 meV per atom.

Cell lengths 8.1215, 8.1215, 8.1215 Å; angles 161.99, 152.36, 33.19 degrees
Closest atoms and distances in Å follow each position.
Fractional coordinates of all 6 atoms:
Co (0.2893, 0.0393, 0.2500)  5 Co 2.29-2.54, 4 Re 2.56
Co (0.4399, 0.1899, 0.2500)  3 Co 2.26-2.34
Co (0.5601, 0.8101, 0.7500)  3 Co 2.26-2.34
Co (0.7107, 0.9607, 0.7500)  5 Co 2.29-2.54, 4 Re 2.56
Re (0.1415, 0.3915, 0.7500)  2 Re 2.54, 10 Co 2.56-2.64
Re (0.8585, 0.6085, 0.2500)  2 Re 2.54, 10 Co 2.56-2.64